[1]
Compound: MnNbGeHI
Source: Alexandria via LeMat-Bulk
Functional: PBE
Structure: optimized geometry

Cell: 4.133 4.136 7.058 Å, 89.99 72.99 60.02°
Space group P1 (No. 1)
Inequivalent atoms, fractional coordinates:
Mn 0.000 0.000 0.000 [1 per cell]
Nb 0.430 0.285 0.855 [1 per cell]
Ge 0.639 0.681 0.042 [1 per cell]
H 0.160 0.921 0.762 [1 per cell]
I 0.707 0.151 0.439 [1 per cell]

Properties
DOS at the Fermi energy   0.37 states/eV per atom
Distance to the lowest polymorph of the same formula   0.000 eV/atom
Uncorrected energy   -5.76 eV per atom

[2]
Compound: TiNb2V
Source: Alexandria via LeMat-Bulk
Functional: PBE
Structure: optimized geometry

Cell: 6.436 6.436 6.436 Å, 90.00 90.00 90.00°
Space group Fm-3m (No. 225)
Inequivalent atoms, fractional coordinates:
Ti 0.000 0.000 0.000 [4 per cell]
Nb 0.250 0.250 0.250 [8 per cell]
V 0.000 0.000 0.500 [4 per cell]

Properties
Energy of formation   24 kJ/mol of formula units
DOS at the Fermi energy   2.25 states/eV per atom
Distance to the lowest polymorph of the same formula   0.014 eV/atom
Uncorrected energy   -9.23 eV per atom

[3]
Compound: CdAg2BrO
Source: Alexandria via LeMat-Bulk
Functional: PBE
Structure: optimized geometry

Cell: 5.252 5.252 4.147 Å, 90.00 90.00 90.00°
Space group P4/mmm (No. 123)
Inequivalent atoms, fractional coordinates:
Cd 0.000 0.000 0.000 [1 per cell]
Ag 0.000 0.500 0.500 [2 per cell]
Br 0.500 0.500 0.500 [1 per cell]
O 0.500 0.500 0.000 [1 per cell]

Properties
Formation energy (no corrections)   0.5174 eV per atom
DOS at the Fermi energy   0.35 states/eV per atom
Uncorrected energy   -2.13 eV per atom

[4]
Compound: Y3Cu
Source: Alexandria via LeMat-Bulk
Functional: PBE
Structure: optimized geometry

Cell: 6.881 9.769 6.518 Å, 90.00 90.00 90.00°
Space group Pnma (No. 62)
Inequivalent atoms, fractional coordinates:
Y 0.020 0.250 0.133 [4 per cell]
Y 0.190 0.061 0.686 [8 per cell]
Cu 0.096 0.750 0.449 [4 per cell]

Properties
Energy of formation   -45 kJ/mol of formula units
DOS at the Fermi energy   1.23 states/eV per atom
Uncorrected energy   -5.99 eV per atom